(1)
## KPt2Pb8 (PBE-GGA)

Data for a relaxed KPt2Pb8 crystal.

abc: 6.7487 6.7487 9.0203
angles: 90.00 90.00 90.00
Last column: nearest neighbours and their distance in Å.
Space group P4/mmm (No. 123)
Unique sites:
K (0.0000, 0.0000, 0.0000) (multiplicity 1)  8 Pb 3.74
Pt (0.0000, 0.5000, 0.5000) (multiplicity 2)  8 Pb 2.90
Pb (0.2527, 0.2527, 0.3168) (multiplicity 8)  2 Pt 2.90

## Properties
Energy relative to the lowest polymorph listed for this composition (meV per atom): 43



(2)
## K3Pt2Pb2 (PBE-GGA)

Data for a relaxed K3Pt2Pb2 crystal.

abc: 6.8977 8.8266 14.6290
angles: 90.00 90.00 90.00
Last column: nearest neighbours and their distance in Å.
Space group Pbcm (No. 57)
Unique sites:
K (0.1354, 0.1056, 0.0936) (multiplicity 8)  2 Pt 3.27-3.56, 3 Pb 3.58-3.64
K (0.3453, 0.7118, 0.7500) (multiplicity 4)  4 Pt 3.42-3.61, 5 Pb 3.45-3.82
Pt (0.3766, 0.0247, 0.5923) (multiplicity 8)  3 Pb 2.72-2.81
Pb (0.1827, 0.0828, 0.7500) (multiplicity 4)  2 Pt 2.72
Pb (0.4119, 0.7500, 0.0000) (multiplicity 4)  4 Pt 2.79-2.81



(3)
## K2Pt2Pb3 (PBE-GGA)

Data for a relaxed K2Pt2Pb3 crystal.

abc: 12.4931 4.5510 8.5453
angles: 90.00 122.65 90.00
Last column: nearest neighbours and their distance in Å.
Space group C2/m (No. 12)
Unique sites:
K (0.1505, 0.0000, 0.2857) (multiplicity 4)  3 Pt 3.32-3.71, 3 Pb 3.57-3.71
Pt (0.1159, 0.0000, 0.7160) (multiplicity 4)  5 Pb 2.79-2.96
Pb (0.0000, 0.5000, 0.5000) (multiplicity 2)  4 Pt 2.79
Pb (0.1374, 0.5000, 0.9534) (multiplicity 4)  3 Pt 2.84-2.96



(4)
## K2Pt2Pb (PBE-GGA)

Data for a relaxed K2Pt2Pb crystal.

abc: 7.1293 7.1293 5.4232
angles: 90.00 90.00 90.00
Last column: nearest neighbours and their distance in Å.
Space group P4/mbm (No. 127)
Unique sites:
K (0.1716, 0.3284, 0.0000) (multiplicity 4)  6 Pt 3.38-3.47, 5 K 3.46-3.74
Pt (0.1285, 0.6285, 0.5000) (multiplicity 4)  1 Pt 2.59, 2 Pb 2.80
Pb (0.0000, 0.0000, 0.5000) (multiplicity 2)  4 Pt 2.80

## Properties
Energy relative to the lowest polymorph listed for this composition (meV per atom): 121



(5)
## K3Pt2Pb3 (PBE-GGA)

Data for a relaxed K3Pt2Pb3 crystal.

abc: 4.7956 12.5741 17.0125
angles: 90.00 90.00 90.00
Last column: nearest neighbours and their distance in Å.
Space group Cmcm (No. 63)
Unique sites:
K (0.0000, 0.0563, 0.1083) (multiplicity 8)  3 Pt 3.58-3.63, 7 Pb 3.71-3.80, 1 K 3.95
K (0.0000, 0.3789, 0.2500) (multiplicity 4)  5 Pb 3.52-3.71, 4 Pt 3.71
Pt (0.0000, 0.2322, 0.6055) (multiplicity 8)  4 Pb 2.73-2.82
Pb (0.0000, 0.3263, 0.7500) (multiplicity 4)  2 Pt 2.73
Pb (0.0000, 0.3413, 0.0396) (multiplicity 8)  3 Pt 2.80-2.82

## Properties
Energy relative to the lowest polymorph listed for this composition (meV per atom): 0



(6)
## KPt2Pb (PBE-GGA)

Data for a relaxed KPt2Pb crystal.

abc: 8.0366 8.0366 6.1493
angles: 90.00 90.00 90.00
Last column: nearest neighbours and their distance in Å.
Space group I-42d (No. 122)
Unique sites:
K (0.0000, 0.0000, 0.0000) (multiplicity 4)  2 Pb 3.07, 4 Pt 3.17
Pt (0.2109, 0.2500, 0.6250) (multiplicity 8)  2 Pb 2.74
Pb (0.0000, 0.0000, 0.5000) (multiplicity 4)  4 Pt 2.74



(7)
## KPtPb2 (PBE-GGA)

Data for a relaxed KPtPb2 crystal.

abc: 3.7555 4.3384 15.3511
angles: 90.00 90.00 90.00
Last column: nearest neighbours and their distance in Å.
Space group Imm2 (No. 44)
Unique sites:
K (0.0000, 0.0000, 0.0000) (multiplicity 2)  6 Pb 3.55-3.69, 2 K 3.76, 2 Pt 3.78
Pt (0.0000, 0.5000, 0.2866) (multiplicity 2)  6 Pb 2.80-2.91
Pb (0.0000, 0.0000, 0.6510) (multiplicity 2)  2 Pt 2.80
Pb (0.0000, 0.5000, 0.8168) (multiplicity 2)  4 Pt 2.91



(8)
## KPt4Pb4 (PBE-GGA)

Data for a relaxed KPt4Pb4 crystal.

abc: 9.3525 9.3525 5.5859
angles: 90.00 90.00 90.00
Last column: nearest neighbours and their distance in Å.
Space group P4_2/n (No. 86, origin choice 2)
Unique sites:
K (0.2500, 0.2500, 0.2500) (multiplicity 2)  4 Pt 3.48, 4 Pb 3.76
Pt (0.0764, 0.5803, 0.6562) (multiplicity 8)  1 Pt 2.71, 5 Pb 2.80-2.89
Pb (0.1157, 0.6244, 0.1483) (multiplicity 8)  5 Pt 2.80-2.89



Record order is preserved below.
DFT formation energy: -0.05; -0.23; -0.25; -0.11; -0.24; 0.26; -0.11; -0.22 eV per atom